Here is Ac3SiC after structural relaxation from Alexandria. Energies are from GGA-PBE.

Geometry as CIF:
```
data_Ac3SiC
_cell_length_a 5.364
_cell_length_b 5.364
_cell_length_c 5.364
_cell_angle_alpha 90.00
_cell_angle_beta 90.00
_cell_angle_gamma 90.00
_symmetry_space_group_name_H-M 'P m -3 m'
_symmetry_Int_Tables_number 221
_symmetry_space_group_name_Hall '-P 4 2 3'
loop_
_atom_site_label
_atom_site_fract_x
_atom_site_fract_y
_atom_site_fract_z
Ac1 0.000 0.000 0.500
Si1 0.500 0.500 0.500
C1 0.000 0.000 0.000
```

As for the density of states at the Fermi level: 0.59 states/eV/atom. The raw formation energy comes out at -0.8 kJ per mole of atoms. As for the magnetic moment: 0.00 μB per atom.

Here is Ac4Si2C after structural relaxation from Alexandria. Energies are from GGA-PBE.

Geometry as CIF:
```
data_Ac4Si2C
_cell_length_a 5.187
_cell_length_b 5.187
_cell_length_c 16.661
_cell_angle_alpha 90.00
_cell_angle_beta 90.00
_cell_angle_gamma 90.00
_symmetry_space_group_name_H-M 'I 4/m m m'
_symmetry_Int_Tables_number 139
_symmetry_space_group_name_Hall '-I 4 2'
loop_
_atom_site_label
_atom_site_fract_x
_atom_site_fract_y
_atom_site_fract_z
Ac1 0.000 0.000 0.176
Ac2 0.000 0.500 0.000
Si1 0.000 0.000 0.366
C1 0.000 0.000 0.000
```

As for the density of states at the Fermi level: 0.46 states/eV/atom. The raw formation energy comes out at -16.5 kJ per mole of atoms. As for the magnetic moment: 0.00 μB per atom.

Here is Ac2SiTcC after structural relaxation from Alexandria. Energies are from GGA-PBE.

Geometry as CIF:
```
data_Ac2SiTcC
_cell_length_a 6.670
_cell_length_b 4.351
_cell_length_c 9.269
_cell_angle_alpha 90.00
_cell_angle_beta 109.60
_cell_angle_gamma 90.00
_symmetry_space_group_name_H-M 'P 1 21/m 1'
_symmetry_Int_Tables_number 11
loop_
_symmetry_equiv_pos_as_xyz
'x,y,z'
'-x,-y,-z'
'-x,y+1/2,-z'
'x,-y+1/2,z'
loop_
_atom_site_label
_atom_site_fract_x
_atom_site_fract_y
_atom_site_fract_z
Ac1 0.212 0.250 0.391
Ac2 0.232 0.250 0.971
Si1 0.330 0.750 0.704
Tc1 0.496 0.750 0.255
C1 0.203 0.750 0.178
```

As for the density of states at the Fermi level: 0.84 states/eV/atom. The raw formation energy comes out at -22.4 kJ per mole of atoms. As for the magnetic moment: 0.00 μB per atom.